[1]
ZrIr2Br (PBE, optimized geometry); space group = I4/mmm (139); raw formation energy = 159 meV/atom; distance to the lowest polymorph of the same formula = 28.55 kJ/mol of atoms; crystal system = tetragonal
1.0
-2.016 2.016 4.307
2.016 -2.016 4.307
2.016 2.016 -4.307
Zr Ir Br
1 2 1
direct
0.000 0.000 0.000 Zr
0.250 0.750 0.500 Ir
0.750 0.250 0.500 Ir
0.500 0.500 0.000 Br

---

[2]
Zr2IrBr (PBE, optimized geometry); space group = Cmmm (65); raw formation energy = -339 meV/atom; distance to the lowest polymorph of the same formula = 34.79 kJ/mol of atoms; crystal system = orthorhombic
1.0
3.500 -3.505 0.000
3.500 3.505 0.000
0.000 0.000 3.122
Zr Ir Br
2 1 1
direct
0.000 0.500 0.000 Zr
0.500 0.000 0.000 Zr
0.000 0.000 0.500 Ir
0.500 0.500 0.500 Br

---

[3]
Zr2IrBr (PBE, optimized geometry); space group = Immm (71); raw formation energy = -319 meV/atom; distance to the lowest polymorph of the same formula = 36.79 kJ/mol of atoms; crystal system = orthorhombic
1.0
-2.051 2.610 3.718
2.051 -2.610 3.718
2.051 2.610 -3.718
Zr Ir Br
2 1 1
direct
0.243 0.243 0.000 Zr
0.757 0.757 0.000 Zr
0.000 0.500 0.500 Ir
0.500 0.000 0.500 Br

---

[4]
ZrIr2Br (PBE, optimized geometry); space group = Cm (8); raw formation energy = -41 meV/atom; distance to the lowest polymorph of the same formula = 9.31 kJ/mol of atoms; crystal system = monoclinic
1.0
4.965 -1.543 0.000
4.965 1.543 0.000
-2.898 0.000 4.883
Zr Ir Br
1 2 1
direct
0.000 0.000 0.000 Zr
0.339 0.339 0.527 Ir
0.589 0.589 0.450 Ir
0.722 0.722 0.987 Br

---

[5]
ZrIr3Br (PBE, optimized geometry); space group = Pm-3m (221); raw formation energy = 1273 meV/atom; distance to the lowest polymorph of the same formula = 0.00 kJ/mol of atoms; crystal system = cubic
1.0
4.620 0.000 0.000
0.000 4.620 0.000
0.000 0.000 4.620
Zr Ir Br
1 3 1
direct
0.000 0.000 0.000 Zr
0.000 0.500 0.500 Ir
0.500 0.000 0.500 Ir
0.500 0.500 0.000 Ir
0.500 0.500 0.500 Br

---

[6]
ZrIrBr (PBE, optimized geometry); space group = P3m1 (156); raw formation energy = -77 meV/atom; distance to the lowest polymorph of the same formula = 45.77 kJ/mol of atoms; crystal system = trigonal
1.0
4.553 0.000 0.000
-2.276 3.943 0.000
0.000 0.000 3.149
Zr Ir Br
1 1 1
direct
0.000 0.000 0.000 Zr
0.667 0.333 0.489 Ir
0.333 0.667 0.206 Br

---

[7]
Zr2IrBr (PBE, optimized geometry); space group = C2/m (12); raw formation energy = -700 meV/atom; distance to the lowest polymorph of the same formula = 0.00 kJ/mol of atoms; crystal system = monoclinic
1.0
3.692 -1.859 0.000
3.692 1.859 0.000
-3.615 0.000 7.203
Zr Ir Br
2 1 1
direct
0.225 0.225 0.322 Zr
0.775 0.775 0.678 Zr
0.000 0.000 0.500 Ir
0.500 0.500 0.000 Br

---

[8]
ZrIr2Br (PBE, optimized geometry); space group = R-3m (166); raw formation energy = 151 meV/atom; distance to the lowest polymorph of the same formula = 27.80 kJ/mol of atoms; crystal system = trigonal
1.0
1.583 0.914 8.817
-1.583 0.914 8.817
0.000 -1.828 8.817
Zr Ir Br
1 2 1
direct
0.000 0.000 0.000 Zr
0.258 0.258 0.258 Ir
0.742 0.742 0.742 Ir
0.500 0.500 0.500 Br

---

[9]
ZrIr2Br (PBE, optimized geometry); space group = C2/m (12); raw formation energy = -10 meV/atom; distance to the lowest polymorph of the same formula = 12.25 kJ/mol of atoms; crystal system = monoclinic
1.0
5.023 -1.520 0.000
5.023 1.520 0.000
-0.286 0.000 4.608
Zr Ir Br
1 2 1
direct
0.000 0.000 0.000 Zr
0.272 0.272 0.766 Ir
0.728 0.728 0.234 Ir
0.500 0.500 0.500 Br

---

[10]
Zr2IrBr (PBE, optimized geometry); space group = I-42d (122); raw formation energy = -11 meV/atom; distance to the lowest polymorph of the same formula = 66.46 kJ/mol of atoms; crystal system = tetragonal
1.0
-2.981 2.981 6.399
2.981 -2.981 6.399
2.981 2.981 -6.399
Zr Ir Br
4 2 2
direct
0.092 0.625 0.967 Zr
0.375 0.342 0.467 Zr
0.658 0.125 0.033 Zr
0.875 0.908 0.533 Zr
0.000 0.000 0.000 Ir
0.750 0.250 0.500 Ir
0.250 0.750 0.500 Br
0.500 0.500 0.000 Br

---

[11]
Zr2IrBr (PBE, optimized geometry); space group = P4mm (99); raw formation energy = -332 meV/atom; distance to the lowest polymorph of the same formula = 35.54 kJ/mol of atoms; crystal system = tetragonal
1.0
3.560 0.000 0.000
0.000 3.560 0.000
0.000 0.000 6.460
Zr Ir Br
2 1 1
direct
0.000 0.000 0.000 Zr
0.500 0.500 0.335 Zr
0.500 0.500 0.843 Ir
0.000 0.000 0.515 Br

---

[12]
ZrIr2Br (PBE, optimized geometry); space group = P4/mmm (123); raw formation energy = 327 meV/atom; distance to the lowest polymorph of the same formula = 44.76 kJ/mol of atoms; crystal system = tetragonal
1.0
4.117 0.000 0.000
0.000 4.117 0.000
0.000 0.000 4.139
Zr Ir Br
1 2 1
direct
0.000 0.000 0.000 Zr
0.000 0.500 0.500 Ir
0.500 0.000 0.500 Ir
0.500 0.500 0.000 Br

---

Density of states at the Fermi level: 2.65 5.72 2.62 3.26 6.99 1.49 1.52 3.80 2.61 2.02 3.24 3.92 (states/eV/f.u.)